(1)
{
  "formula": "BaYRe",
  "functional": "PBE",
  "state": "relaxed",
  "cell": [[7.091, 0.000, 0.000], [0.000, 7.091, 0.000], [0.000, 0.000, 7.091]],
  "species": ["Ba", "Ba", "Ba", "Ba", "Y", "Y", "Y", "Y", "Re", "Re", "Re", "Re"],
  "fractional_positions": [[0.000, 0.000, 0.000], [0.000, 0.500, 0.500], [0.500, 0.000, 0.500], [0.500, 0.500, 0.000], [0.000, 0.000, 0.500], [0.000, 0.500, 0.000], [0.500, 0.000, 0.000], [0.500, 0.500, 0.500], [0.250, 0.250, 0.250], [0.250, 0.750, 0.750], [0.750, 0.250, 0.750], [0.750, 0.750, 0.250]],
  "rho_g_cm3": 7.7,
  "sg": "F-43m (216)",
  "e_above_lowest_polymorph_kj_per_mol_fu": 70
}



(2)
{
  "formula": "BaYRe",
  "functional": "PBE",
  "state": "relaxed",
  "cell": [[3.568, 0.000, 0.000], [0.000, 3.568, 0.000], [0.000, 0.000, 14.327]],
  "species": ["Ba", "Ba", "Y", "Y", "Re", "Re"],
  "fractional_positions": [[0.000, 0.000, 0.000], [0.500, 0.500, 0.500], [0.000, 0.000, 0.252], [0.500, 0.500, 0.752], [0.000, 0.000, 0.649], [0.500, 0.500, 0.149]],
  "rho_g_cm3": 7.5,
  "sg": "I4mm (107)",
  "e_above_lowest_polymorph_kj_per_mol_fu": 0
}



(3)
{
  "formula": "BaY2Re",
  "functional": "PBE",
  "state": "relaxed",
  "cell": [[7.523, 0.000, 0.000], [0.000, 7.523, 0.000], [0.000, 0.000, 7.523]],
  "species": ["Ba", "Ba", "Ba", "Ba", "Y", "Y", "Y", "Y", "Y", "Y", "Y", "Y", "Re", "Re", "Re", "Re"],
  "fractional_positions": [[0.000, 0.000, 0.000], [0.000, 0.500, 0.500], [0.500, 0.000, 0.500], [0.500, 0.500, 0.000], [0.250, 0.250, 0.250], [0.250, 0.250, 0.750], [0.250, 0.750, 0.250], [0.250, 0.750, 0.750], [0.750, 0.250, 0.250], [0.750, 0.250, 0.750], [0.750, 0.750, 0.250], [0.750, 0.750, 0.750], [0.000, 0.000, 0.500], [0.000, 0.500, 0.000], [0.500, 0.000, 0.000], [0.500, 0.500, 0.500]],
  "rho_g_cm3": 7.8,
  "sg": "Fm-3m (225)",
  "e_above_lowest_polymorph_kj_per_mol_fu": 149
}



(4)
{
  "formula": "BaYRe3",
  "functional": "PBE",
  "state": "relaxed",
  "cell": [[5.087, 0.000, 0.000], [0.000, 5.087, 0.000], [0.000, 0.000, 5.087]],
  "species": ["Ba", "Y", "Re", "Re", "Re"],
  "fractional_positions": [[0.000, 0.000, 0.000], [0.500, 0.500, 0.500], [0.000, 0.500, 0.500], [0.500, 0.000, 0.500], [0.500, 0.500, 0.000]],
  "rho_g_cm3": 9.9,
  "sg": "Pm-3m (221)",
  "e_above_lowest_polymorph_kj_per_mol_fu": 0
}



(5)
{
  "formula": "Ba3YRe",
  "functional": "PBE",
  "state": "relaxed",
  "cell": [[6.320, 0.000, 0.000], [0.000, 6.320, 0.000], [0.000, 0.000, 6.320]],
  "species": ["Ba", "Ba", "Ba", "Y", "Re"],
  "fractional_positions": [[0.000, 0.000, 0.500], [0.000, 0.500, 0.000], [0.500, 0.000, 0.000], [0.000, 0.000, 0.000], [0.500, 0.500, 0.500]],
  "rho_g_cm3": 4.5,
  "sg": "Pm-3m (221)",
  "e_above_lowest_polymorph_kj_per_mol_fu": 423
}



(6)
{
  "formula": "BaY2Re",
  "functional": "PBE",
  "state": "relaxed",
  "cell": [[7.932, 0.000, 0.000], [0.000, 3.604, 0.000], [-1.057, 0.000, 9.516]],
  "species": ["Ba", "Ba", "Y", "Y", "Y", "Y", "Re", "Re"],
  "fractional_positions": [[0.000, 0.000, 0.000], [0.500, 0.500, 0.000], [0.224, 0.000, 0.658], [0.276, 0.500, 0.342], [0.724, 0.500, 0.658], [0.776, 0.000, 0.342], [0.000, 0.500, 0.500], [0.500, 0.000, 0.500]],
  "rho_g_cm3": 6.1,
  "sg": "C2/m (12)",
  "e_above_lowest_polymorph_kj_per_mol_fu": 79
}



(7)
{
  "formula": "BaY2Re",
  "functional": "PBE",
  "state": "relaxed",
  "cell": [[6.882, 0.000, 0.000], [0.000, 10.919, 0.000], [-1.458, 0.000, 2.887]],
  "species": ["Ba", "Ba", "Y", "Y", "Y", "Y", "Re", "Re"],
  "fractional_positions": [[0.000, 0.000, 0.000], [0.500, 0.500, 0.000], [0.250, 0.250, 0.500], [0.250, 0.750, 0.500], [0.750, 0.250, 0.500], [0.750, 0.750, 0.500], [0.000, 0.500, 0.000], [0.500, 0.000, 0.000]],
  "rho_g_cm3": 7.7,
  "sg": "C2/m (12)",
  "e_above_lowest_polymorph_kj_per_mol_fu": 250
}



(8)
{
  "formula": "BaY2Re",
  "functional": "PBE",
  "state": "relaxed",
  "cell": [[3.527, 0.000, 0.000], [0.000, 3.527, 0.000], [0.000, 0.000, 10.113]],
  "species": ["Ba", "Y", "Y", "Re"],
  "fractional_positions": [[0.000, 0.000, 0.000], [0.500, 0.500, 0.339], [0.500, 0.500, 0.661], [0.000, 0.000, 0.500]],
  "rho_g_cm3": 6.6,
  "sg": "P4/mmm (123)",
  "e_above_lowest_polymorph_kj_per_mol_fu": 0
}



(9)
{
  "formula": "BaYRe",
  "functional": "PBE",
  "state": "relaxed",
  "cell": [[5.042, 0.000, 0.000], [-2.521, 4.366, 0.000], [0.000, 0.000, 3.505]],
  "species": ["Ba", "Y", "Re"],
  "fractional_positions": [[0.000, 0.000, 0.000], [0.333, 0.667, 0.512], [0.667, 0.333, 0.136]],
  "rho_g_cm3": 8.9,
  "sg": "P3m1 (156)",
  "e_above_lowest_polymorph_kj_per_mol_fu": 85
}



(10)
{
  "formula": "BaY3Re",
  "functional": "PBE",
  "state": "relaxed",
  "cell": [[5.593, 0.000, 0.000], [0.000, 5.593, 0.000], [0.000, 0.000, 5.593]],
  "species": ["Ba", "Y", "Y", "Y", "Re"],
  "fractional_positions": [[0.000, 0.000, 0.000], [0.000, 0.500, 0.500], [0.500, 0.000, 0.500], [0.500, 0.500, 0.000], [0.500, 0.500, 0.500]],
  "rho_g_cm3": 5.6,
  "sg": "Pm-3m (221)",
  "e_above_lowest_polymorph_kj_per_mol_fu": 0
}



(11)
{
  "formula": "BaY2Re",
  "functional": "PBE",
  "state": "relaxed",
  "cell": [[3.921, 0.000, 0.000], [0.000, 3.921, 0.000], [0.000, 0.000, 8.340]],
  "species": ["Ba", "Y", "Y", "Re"],
  "fractional_positions": [[0.000, 0.000, 0.000], [0.000, 0.000, 0.397], [0.500, 0.500, 0.625], [0.500, 0.500, 0.282]],
  "rho_g_cm3": 6.5,
  "sg": "P4mm (99)",
  "e_above_lowest_polymorph_kj_per_mol_fu": 95
}



(12)
{
  "formula": "BaY2Re",
  "functional": "PBE",
  "state": "relaxed",
  "cell": [[3.556, 0.000, 0.000], [-1.778, 3.080, 0.000], [0.000, 0.000, 33.327]],
  "species": ["Ba", "Ba", "Ba", "Y", "Y", "Y", "Y", "Y", "Y", "Re", "Re", "Re"],
  "fractional_positions": [[0.000, 0.000, 0.000], [0.333, 0.667, 0.667], [0.667, 0.333, 0.333], [0.000, 0.000, 0.225], [0.000, 0.000, 0.464], [0.333, 0.667, 0.131], [0.333, 0.667, 0.891], [0.667, 0.333, 0.558], [0.667, 0.333, 0.798], [0.000, 0.000, 0.738], [0.333, 0.667, 0.405], [0.667, 0.333, 0.072]],
  "rho_g_cm3": 6.8,
  "sg": "R3m (160)",
  "e_above_lowest_polymorph_kj_per_mol_fu": 194
}